# K2HoVF6

A relaxed structure of K2HoVF6 (PBE with a Hubbard U, the Alexandria database).

Properties
The calculated total energy is -5.50 eV/atom. Its crystal system is orthorhombic.

Geometry as CIF:
```
data_K2HoVF6
_cell_length_a 5.9534
_cell_length_b 10.3678
_cell_length_c 6.2111
_cell_angle_alpha 90.00
_cell_angle_beta 90.00
_cell_angle_gamma 90.00
_symmetry_space_group_name_H-M 'P m m n'
_symmetry_Int_Tables_number 59
loop_
_symmetry_equiv_pos_as_xyz
'x,y,z'
'-x,-y,-z'
'-x+1/2,-y+1/2,z'
'x+1/2,y+1/2,-z'
'x+1/2,-y,-z'
'-x+1/2,y,z'
'-x,y+1/2,-z'
'x,-y+1/2,z'
loop_
_atom_site_label
_atom_site_type_symbol
_atom_site_fract_x
_atom_site_fract_y
_atom_site_fract_z
K1 K 0.2500 0.0137 0.2359
Ho1 Ho 0.2500 0.7500 0.8037
V1 V 0.2500 0.2500 0.6952
F1 F 0.0041 0.2500 0.9448
F2 F 0.0129 0.2500 0.4374
F3 F 0.2500 0.5420 0.8170
```